Record 1
Compound: AgPtBr
Source: Alexandria via LeMat-Bulk
Functional: SCAN
Structure: single point on PBEsol structure

Properties
As for the polymorph energy (0 for the lowest one): 0 meV/atom. The calculated volume is 55 Å³ per cell. For the total magnetization, the calculation gives 0.00 μB per formula unit. The uncorrected formation energy comes out at 410 meV/atom. The value obtained for the total energy is -39.9296 eV per atom. The density of states at the Fermi level comes out at 0.784 states/eV/atom. As for the space group: No. 156.

Unit cell a=3.291 b=3.291 c=5.917 alpha=90.00 beta=90.00 gamma=120.00
Element x y z (fractional)
Ag  0.000  0.000  0.000
Pt  0.667  0.333  0.323
Br  0.333  0.667  0.643

Record 2
Compound: AgPtBr2
Source: Alexandria via LeMat-Bulk
Functional: SCAN
Structure: single point on PBEsol structure

Properties
The calculated volume is 85 Å³ per cell. For the total magnetization, the calculation gives 0.00 μB per formula unit. The uncorrected formation energy comes out at 265 meV/atom. The value obtained for the total energy is -34.8547 eV per atom. The density of states at the Fermi level comes out at 0.413 states/eV/atom. As for the space group: No. 12.

Unit cell a=5.261 b=5.261 c=3.428 alpha=106.75 beta=106.75 gamma=96.64
Element x y z (fractional)
Ag  0.000  0.000  0.000
Pt  0.500  0.500  0.000
Br  0.000  0.500  0.000
Br  0.500  0.000  0.000

Record 3
Compound: Ag2RuPtBr
Source: Alexandria via LeMat-Bulk
Functional: SCAN
Structure: single point on PBEsol structure

Properties
The calculated volume is 117 Å³ per cell. For the total magnetization, the calculation gives 1.43 μB per formula unit. The uncorrected formation energy comes out at 1167 meV/atom. The value obtained for the total energy is -36.2757 eV per atom. The density of states at the Fermi level comes out at 1.025 states/eV/atom. As for the space group: No. 123.

Unit cell a=5.064 b=5.064 c=4.572 alpha=90.00 beta=90.00 gamma=90.00
Element x y z (fractional)
Ag  0.000  0.500  0.000
Ag  0.500  0.000  0.000
Ru  0.000  0.000  0.000
Pt  0.000  0.000  0.500
Br  0.500  0.500  0.500

Record 4
Compound: SrAg2PtBr
Source: Alexandria via LeMat-Bulk
Functional: SCAN
Structure: single point on PBEsol structure

Properties
The calculated volume is 162 Å³ per cell. For the total magnetization, the calculation gives 0.00 μB per formula unit. The uncorrected formation energy comes out at 1053 meV/atom. The value obtained for the total energy is -33.8794 eV per atom. The density of states at the Fermi level comes out at 0.442 states/eV/atom. As for the space group: No. 123.

Unit cell a=5.521 b=5.521 c=5.309 alpha=90.00 beta=90.00 gamma=90.00
Element x y z (fractional)
Sr  0.000  0.000  0.000
Ag  0.000  0.500  0.000
Ag  0.500  0.000  0.000
Pt  0.500  0.500  0.500
Br  0.000  0.000  0.500

Record 5
Compound: Rb2AgRuBr
Source: Alexandria via LeMat-Bulk
Functional: SCAN
Structure: single point on PBEsol structure

Properties
The calculated volume is 188 Å³ per cell. For the total magnetization, the calculation gives 2.01 μB per formula unit. The uncorrected formation energy comes out at 382 meV/atom. The value obtained for the total energy is -25.0441 eV per atom. The density of states at the Fermi level comes out at 0.153 states/eV/atom. As for the space group: No. 123.

Unit cell a=6.407 b=6.407 c=4.588 alpha=90.00 beta=90.00 gamma=90.00
Element x y z (fractional)
Rb  0.000  0.500  0.000
Rb  0.500  0.000  0.000
Ag  0.000  0.000  0.500
Ru  0.500  0.500  0.000
Br  0.500  0.500  0.500

Record 6
Compound: RbAgSeBr2
Source: Alexandria via LeMat-Bulk
Functional: SCAN
Structure: single point on PBEsol structure

Properties
The calculated volume is 146 Å³ per cell. For the total magnetization, the calculation gives 0.96 μB per formula unit. The uncorrected formation energy comes out at -648 meV/atom. The value obtained for the total energy is -22.8683 eV per atom. The density of states at the Fermi level comes out at 0.898 states/eV/atom. As for the space group: No. 123.

Unit cell a=5.387 b=5.387 c=5.041 alpha=90.00 beta=90.00 gamma=90.00
Element x y z (fractional)
Rb  0.000  0.000  0.000
Ag  0.500  0.500  0.500
Se  0.500  0.500  0.000
Br  0.000  0.500  0.500
Br  0.500  0.000  0.500

Record 7
Compound: RbAgSe2Br
Source: Alexandria via LeMat-Bulk
Functional: SCAN
Structure: single point on PBEsol structure

Properties
The calculated volume is 221 Å³ per cell. For the total magnetization, the calculation gives 3.00 μB per formula unit. The uncorrected formation energy comes out at 709 meV/atom. The value obtained for the total energy is -21.6358 eV per atom. The density of states at the Fermi level comes out at 0.642 states/eV/atom. As for the space group: No. 123.

Unit cell a=6.044 b=6.044 c=6.052 alpha=90.00 beta=90.00 gamma=90.00
Element x y z (fractional)
Rb  0.000  0.000  0.000
Ag  0.500  0.500  0.500
Se  0.000  0.500  0.000
Se  0.500  0.000  0.000
Br  0.000  0.000  0.500

Record 8
Compound: Rb2TiAgBr
Source: Alexandria via LeMat-Bulk
Functional: SCAN
Structure: single point on PBEsol structure

Properties
The calculated volume is 221 Å³ per cell. For the total magnetization, the calculation gives 3.90 μB per formula unit. The uncorrected formation energy comes out at 240 meV/atom. The value obtained for the total energy is -21.4267 eV per atom. The density of states at the Fermi level comes out at 0.620 states/eV/atom. As for the space group: No. 123.

Unit cell a=6.736 b=6.736 c=4.865 alpha=90.00 beta=90.00 gamma=90.00
Element x y z (fractional)
Rb  0.000  0.500  0.000
Rb  0.500  0.000  0.000
Ti  0.000  0.000  0.000
Ag  0.500  0.500  0.500
Br  0.000  0.000  0.500

Record 9
Compound: Rb2TlAgBr6
Source: Alexandria via LeMat-Bulk
Functional: SCAN
Structure: single point on PBEsol structure

Properties
The calculated volume is 328 Å³ per cell. For the total magnetization, the calculation gives 0.00 μB per formula unit. The uncorrected formation energy comes out at -1093 meV/atom. The value obtained for the total energy is -27.2891 eV per atom. The density of states at the Fermi level comes out at 0.221 states/eV/atom. As for the space group: No. 225.

Unit cell a=7.739 b=7.739 c=7.739 alpha=60.00 beta=60.00 gamma=60.00
Element x y z (fractional)
Rb  0.250  0.250  0.250
Rb  0.750  0.750  0.750
Tl  0.000  0.000  0.000
Ag  0.500  0.500  0.500
Br  0.254  0.254  0.746
Br  0.254  0.746  0.254
Br  0.254  0.746  0.746
Br  0.746  0.254  0.254
Br  0.746  0.254  0.746
Br  0.746  0.746  0.254

Record 10
Compound: Re2AgBr
Source: Alexandria via LeMat-Bulk
Functional: SCAN
Structure: single point on PBEsol structure

Properties
As for the polymorph energy (0 for the lowest one): 575 meV/atom. The calculated volume is 67 Å³ per cell. For the total magnetization, the calculation gives 0.00 μB per formula unit. The uncorrected formation energy comes out at 1692 meV/atom. The value obtained for the total energy is -46.5636 eV per atom. The density of states at the Fermi level comes out at 1.106 states/eV/atom. As for the space group: No. 139.

Unit cell a=5.418 b=5.418 c=5.418 alpha=139.31 beta=139.31 gamma=58.90
Element x y z (fractional)
Re  0.250  0.750  0.500
Re  0.750  0.250  0.500
Ag  0.000  0.000  0.000
Br  0.500  0.500  0.000

Record 11
Compound: ReAg2Br
Source: Alexandria via LeMat-Bulk
Functional: SCAN
Structure: single point on PBEsol structure

Properties
As for the polymorph energy (0 for the lowest one): 0 meV/atom. The calculated volume is 72 Å³ per cell. For the total magnetization, the calculation gives 0.00 μB per formula unit. The uncorrected formation energy comes out at 720 meV/atom. The value obtained for the total energy is -37.6028 eV per atom. The density of states at the Fermi level comes out at 0.630 states/eV/atom. As for the space group: No. 10.

Unit cell a=2.714 b=2.935 c=9.061 alpha=90.00 beta=90.09 gamma=90.00
Element x y z (fractional)
Re  0.000  0.000  0.000
Ag  0.499  0.500  0.778
Ag  0.501  0.500  0.222
Br  0.500  0.000  0.500

Record 12
Compound: ReAg2Br
Source: Alexandria via LeMat-Bulk
Functional: SCAN
Structure: single point on PBEsol structure

Properties
As for the polymorph energy (0 for the lowest one): 367 meV/atom. The calculated volume is 73 Å³ per cell. For the total magnetization, the calculation gives 1.20 μB per formula unit. The uncorrected formation energy comes out at 1087 meV/atom. The value obtained for the total energy is -37.2357 eV per atom. The density of states at the Fermi level comes out at 0.581 states/eV/atom. As for the space group: No. 123.

Unit cell a=5.261 b=5.261 c=2.643 alpha=90.00 beta=90.00 gamma=90.00
Element x y z (fractional)
Re  0.000  0.000  0.000
Ag  0.000  0.500  0.500
Ag  0.500  0.000  0.500
Br  0.500  0.500  0.000